Crystalline NbCo2HOs at its relaxed geometry, computed with PBE.

```
NbCo2HOs
1.0
3.774 0.000 0.000
0.000 3.774 0.000
0.000 0.000 3.850
Nb Co H Os
1 2 1 1
Direct
0.000 0.000 0.000 Nb
0.000 0.500 0.500 Co
0.500 0.000 0.500 Co
0.500 0.500 0.500 H
0.500 0.500 0.000 Os
```

Calculated values
Symmetry = P4/mmm (123)
Uncorrected energy = -39.38 eV/cell